Material: Tb2Pm4DyMg
Method: DFT, PBE
State: relaxed

Results
Total DFT energy (no corrections), eV/atom: -4.299
Volume, Å³ per atom: 32.0
E_form, eV/f.u.: 0.1

a = 5.0469 Å, b = 5.0509 Å, c = 11.2333 Å
α = 63.28°, β = 90.00°, γ = 90.00°
Last column: nearest neighbours and their distance in Å.
Atoms (fractional coordinates):
Tb: 0.0000 0.0000 0.0000  8 Pm 3.53-3.54, 4 Mg 3.57
Tb: 0.5000 0.0000 0.5000  4 Dy 3.57, 8 Pm 3.58-3.59
Pm: 0.0000 0.7470 0.7534  4 Tb 3.53-3.58, 2 Mg 3.53, 4 Pm 3.57, 2 Dy 3.58-3.59
Pm: 0.0000 0.2531 0.2465  2 Mg 3.53, 4 Tb 3.53-3.58, 4 Pm 3.57, 2 Dy 3.58-3.59
Pm: 0.5000 0.7528 0.2465  2 Mg 3.53-3.54, 4 Tb 3.53-3.59, 4 Pm 3.57, 2 Dy 3.58
Pm: 0.5000 0.2472 0.7534  2 Mg 3.53-3.54, 4 Tb 3.53-3.59, 4 Pm 3.57, 2 Dy 3.58
Dy: 0.0000 0.5000 0.5000  4 Tb 3.57, 8 Pm 3.58-3.59
Mg: 0.5000 0.5000 0.0000  8 Pm 3.53-3.54, 4 Tb 3.57

***

Material: Hf2InTe2
Method: DFT, PBE
State: relaxed

Results
Total DFT energy (no corrections), eV/atom: -6.145
Volume, Å³ per atom: 24.0
Formation energy from raw total energies, kJ per mole of atoms: -34.7

a = 8.0544 Å, b = 8.0544 Å, c = 3.6944 Å
α = 90.00°, β = 90.00°, γ = 90.00°
Last column: nearest neighbours and their distance in Å.
Atoms (fractional coordinates):
Te: 0.1466 0.6466 0.5000  6 Hf 2.98-3.01, 1 Te 3.34
Te: 0.6466 0.8534 0.5000  6 Hf 2.98-3.01, 1 Te 3.34
Te: 0.8534 0.3534 0.5000  6 Hf 2.98-3.01, 1 Te 3.34
Te: 0.3534 0.1466 0.5000  6 Hf 2.98-3.01, 1 Te 3.34
Hf: 0.3556 0.8556 0.0000  6 Te 2.98-3.01, 2 In 3.09, 1 Hf 3.29
Hf: 0.8556 0.6444 0.0000  6 Te 2.98-3.01, 2 In 3.09, 1 Hf 3.29
Hf: 0.6444 0.1444 0.0000  6 Te 2.98-3.01, 2 In 3.09, 1 Hf 3.29
Hf: 0.1444 0.3556 0.0000  6 Te 2.98-3.01, 2 In 3.09, 1 Hf 3.29
In: 0.0000 0.0000 0.0000  4 Hf 3.09
In: 0.5000 0.5000 0.0000  4 Hf 3.09

***

Material: Rb4ScU3Se8
Method: DFT, PBE
State: relaxed

Results
Total DFT energy (no corrections), eV/atom: -5.789
Volume, Å³ per atom: 30.7
Formation energy from raw total energies, kJ per mole of atoms: -124.7

a = 8.3918 Å, b = 9.3967 Å, c = 8.3920 Å
α = 116.54°, β = 120.00°, γ = 90.00°
Last column: nearest neighbours and their distance in Å.
Atoms (fractional coordinates):
Rb: 0.5000 0.0000 0.0000  6 Se 3.51
Rb: 0.5000 0.0000 0.5000  6 Se 3.42-3.43
Rb: 0.0000 0.0000 0.0000  6 Se 3.42-3.43
Rb: 0.0000 0.0000 0.5000  6 Se 3.42-3.43
Sc: 0.0000 0.5000 0.0000  6 Se 2.82
U: 0.5000 0.5000 0.0000  6 Se 2.91-2.92
U: 0.5000 0.5000 0.5000  6 Se 2.91-2.92
U: 0.0000 0.5000 0.5000  6 Se 2.91-2.92
Se: 0.2259 0.6940 0.9683  1 Sc 2.82, 2 U 2.92
Se: 0.2260 0.6941 0.4519  1 Sc 2.82, 2 U 2.92
Se: 0.2664 0.2992 0.5327  3 U 2.91
Se: 0.7423 0.6940 0.9683  1 Sc 2.82, 2 U 2.92
Se: 0.2577 0.3060 0.0317  1 Sc 2.82, 2 U 2.92
Se: 0.7336 0.7008 0.4673  3 U 2.91
Se: 0.7740 0.3059 0.5481  1 Sc 2.82, 2 U 2.92
Se: 0.7741 0.3060 0.0317  1 Sc 2.82, 2 U 2.92

***

Material: CoPdS2Cl
Method: DFT, PBE
State: relaxed

Results
E above lowest polymorph, meV per atom: 335
Total DFT energy (no corrections), eV/atom: -3.712
Volume, Å³ per atom: 21.0
Formation energy from raw total energies, kJ per mole of atoms: 74.1

a = 4.6971 Å, b = 4.6971 Å, c = 4.7703 Å
α = 90.00°, β = 90.00°, γ = 90.00°
Last column: nearest neighbours and their distance in Å.
Atoms (fractional coordinates):
S: 0.0000 0.5000 0.0000  2 Pd 2.35
S: 0.5000 0.0000 0.0000  2 Pd 2.35
Co: 0.5000 0.5000 0.5000  4 Cl 3.32, 8 S 3.35
Pd: 0.0000 0.0000 0.0000  4 S 2.35, 2 Cl 2.39
Cl: 0.0000 0.0000 0.5000  2 Pd 2.39

***

Material: Sm5P4Au
Method: DFT, PBE
State: relaxed

Results
Total DFT energy (no corrections), eV/atom: -6.244
Volume, Å³ per atom: 25.1
E_form, eV/f.u.: -13.9

a = 4.1195 Å, b = 7.1913 Å, c = 9.2391 Å
α = 75.66°, β = 77.12°, γ = 73.36°
Last column: nearest neighbours and their distance in Å.
Atoms (fractional coordinates):
Sm: 0.2061 0.9032 0.6846  5 P 2.83-2.92, 1 Au 3.04
Sm: 0.7939 0.0968 0.3154  5 P 2.83-2.92, 1 Au 3.04
Sm: 0.3896 0.3350 0.8857  4 P 2.81-2.94, 2 Au 3.11
Sm: 0.0000 0.5000 0.5000  6 P 2.93-2.94
Sm: 0.6104 0.6650 0.1143  4 P 2.81-2.94, 2 Au 3.11
P: 0.5973 0.2019 0.6036  6 Sm 2.83-2.93
P: 0.2053 0.3882 0.2012  6 Sm 2.81-2.94
P: 0.7947 0.6118 0.7988  6 Sm 2.81-2.94
P: 0.4027 0.7981 0.3964  6 Sm 2.83-2.93
Au: 0.0000 0.0000 0.0000  6 Sm 3.04-3.11

***

Material: Sr2CaLu
Method: DFT, PBE
State: relaxed

Results
E above lowest polymorph, meV per atom: 157
Total DFT energy (no corrections), eV/atom: -2.135
Volume, Å³ per atom: 43.4
E_form, eV/f.u.: 1.3

a = 3.8191 Å, b = 3.8191 Å, c = 13.9176 Å
α = 82.11°, β = 82.11°, γ = 60.00°
Last column: nearest neighbours and their distance in Å.
Atoms (fractional coordinates):
Sr: 0.0850 0.0850 0.7450  1 Lu 3.50, 6 Sr 3.82
Sr: 0.9150 0.9150 0.2550  1 Lu 3.50, 6 Sr 3.82
Ca: 0.5000 0.5000 0.5000  6 Ca 3.82, 6 Sr 4.02
Lu: 0.0000 0.0000 0.0000  2 Sr 3.50, 6 Lu 3.82

***

Material: ZrTc2Rh
Method: DFT, PBE
State: relaxed

Results
E above lowest polymorph, meV per atom: 214
Total DFT energy (no corrections), eV/atom: -9.108
Volume, Å³ per atom: 16.1
E_form, eV/f.u.: 0.2

a = 9.3863 Å, b = 9.3863 Å, c = 9.3863 Å
α = 17.40°, β = 17.40°, γ = 17.40°
Last column: nearest neighbours and their distance in Å.
Atoms (fractional coordinates):
Rh: 0.7452 0.7452 0.7452  3 Tc 2.75, 6 Rh 2.84, 3 Zr 2.90
Tc: 0.9990 0.9990 0.9990  9 Tc 2.64-2.84, 3 Rh 2.75
Tc: 0.2576 0.2576 0.2576  9 Tc 2.64-2.84
Zr: 0.4982 0.4982 0.4982  6 Zr 2.84, 3 Rh 2.90, 3 Tc 3.05

***

Material: Ti3CrGa4
Method: DFT, PBE
State: relaxed

Results
Total DFT energy (no corrections), eV/atom: -5.971
Volume, Å³ per atom: 15.1
E_form, eV/f.u.: -2.4

a = 5.4063 Å, b = 5.4027 Å, c = 8.2876 Å
α = 90.00°, β = 90.00°, γ = 90.00°
Last column: nearest neighbours and their distance in Å.
Atoms (fractional coordinates):
Ti: 0.7103 0.0221 0.0000  8 Ga 2.66-2.85, 4 Ti 2.86
Ti: 0.9384 0.7358 0.2496  8 Ga 2.67-2.87, 2 Cr 2.77-2.80, 2 Ti 2.86
Ti: 0.4384 0.2642 0.2504  8 Ga 2.67-2.87, 2 Cr 2.77-2.80, 2 Ti 2.86
Ti: 0.2103 0.9779 0.5000  8 Ga 2.66-2.85, 4 Ti 2.86
Ti: 0.4384 0.2642 0.7496  8 Ga 2.67-2.87, 2 Cr 2.77-2.80, 2 Ti 2.86
Ti: 0.9384 0.7358 0.7504  8 Ga 2.67-2.87, 2 Cr 2.77-2.80, 2 Ti 2.86
Cr: 0.1701 0.4847 0.0000  8 Ga 2.67-2.88, 4 Ti 2.77-2.80
Cr: 0.6701 0.5153 0.5000  8 Ga 2.67-2.88, 4 Ti 2.77-2.80
Ga: 0.2022 0.9920 0.0000  6 Ti 2.66-2.87, 2 Cr 2.67-2.75, 4 Ga 2.69-2.91
Ga: 0.6756 0.5156 0.0000  6 Ti 2.67-2.79, 2 Cr 2.68-2.74, 4 Ga 2.71-2.98
Ga: 0.9401 0.2414 0.2594  6 Ti 2.67-2.85, 4 Ga 2.69-2.98, 2 Cr 2.81-2.88
Ga: 0.4401 0.7586 0.2406  6 Ti 2.67-2.85, 4 Ga 2.69-2.98, 2 Cr 2.81-2.88
Ga: 0.1756 0.4844 0.5000  6 Ti 2.67-2.79, 2 Cr 2.68-2.74, 4 Ga 2.71-2.98
Ga: 0.7022 0.0080 0.5000  6 Ti 2.66-2.87, 2 Cr 2.67-2.75, 4 Ga 2.69-2.91
Ga: 0.4401 0.7586 0.7594  6 Ti 2.67-2.85, 4 Ga 2.69-2.98, 2 Cr 2.81-2.88
Ga: 0.9401 0.2414 0.7406  6 Ti 2.67-2.85, 4 Ga 2.69-2.98, 2 Cr 2.81-2.88

***

Material: AlZnFe2
Method: DFT, PBE
State: relaxed

Results
Total DFT energy (no corrections), eV/atom: -5.606
Volume, Å³ per atom: 12.7
E_form, eV/f.u.: -0.5

a = 4.5791 Å, b = 4.5791 Å, c = 4.5791 Å
α = 133.12°, β = 132.58°, γ = 68.89°
Last column: nearest neighbours and their distance in Å.
Atoms (fractional coordinates):
Zn: 0.7500 0.2500 0.5000  4 Al 2.59, 8 Fe 2.62-2.64
Fe: 0.0000 0.0000 0.0000  4 Fe 2.59, 4 Al 2.62-2.64, 4 Zn 2.62-2.64
Fe: 0.5000 0.5000 0.0000  4 Fe 2.59, 4 Al 2.62-2.64, 4 Zn 2.62-2.64
Al: 0.2500 0.7500 0.5000  4 Zn 2.59, 8 Fe 2.62-2.64

***

Material: CsSiRh3
Method: DFT, PBE
State: relaxed

Results
E above lowest polymorph, meV per atom: 0
Total DFT energy (no corrections), eV/atom: -5.292
Volume, Å³ per atom: 20.3
Formation energy from raw total energies, kJ per mole of atoms: 36.1

a = 4.6619 Å, b = 4.6619 Å, c = 4.6619 Å
α = 90.00°, β = 90.00°, γ = 90.00°
Last column: nearest neighbours and their distance in Å.
Atoms (fractional coordinates):
Cs: 0.5000 0.5000 0.5000  12 Rh 3.30
Si: 0.0000 0.0000 0.0000  6 Rh 2.33
Rh: 0.0000 0.5000 0.0000  2 Si 2.33
Rh: 0.0000 0.0000 0.5000  2 Si 2.33
Rh: 0.5000 0.0000 0.0000  2 Si 2.33

***

Material: Cr2Ni15W2
Method: DFT, PBE
State: relaxed

Results
Total DFT energy (no corrections), eV/atom: -6.779
Volume, Å³ per atom: 11.8
E_form, eV/f.u.: 3.1

a = 6.1586 Å, b = 6.1586 Å, c = 6.1586 Å
α = 80.42°, β = 80.42°, γ = 80.42°
Last column: nearest neighbours and their distance in Å.
Atoms (fractional coordinates):
Cr: 0.9119 0.9119 0.9119  1 Cr 2.17
Cr: 0.0881 0.0881 0.0881  1 Cr 2.17
Ni: 0.0000 0.5000 0.0000  8 Ni 2.31-2.42, 2 Cr 2.49
Ni: 0.0000 0.0000 0.5000  8 Ni 2.31-2.42, 2 Cr 2.49
Ni: 0.5000 0.0000 0.0000  8 Ni 2.31-2.42, 2 Cr 2.49
Ni: 0.3218 0.0000 0.6782  8 Ni 2.42-2.56
Ni: 0.6782 0.3218 0.0000  8 Ni 2.42-2.56
Ni: 0.0000 0.6782 0.3218  8 Ni 2.42-2.56
Ni: 0.3218 0.6782 0.0000  8 Ni 2.42-2.56
Ni: 0.0000 0.3218 0.6782  8 Ni 2.42-2.56
Ni: 0.6782 0.0000 0.3218  8 Ni 2.42-2.56
Ni: 0.3416 0.8374 0.3416  8 Ni 2.28-2.49, 1 Cr 2.54
Ni: 0.3416 0.3416 0.8374  8 Ni 2.28-2.49, 1 Cr 2.54
Ni: 0.8374 0.3416 0.3416  8 Ni 2.28-2.49, 1 Cr 2.54
Ni: 0.6584 0.1626 0.6584  8 Ni 2.28-2.49, 1 Cr 2.54
Ni: 0.6584 0.6584 0.1626  8 Ni 2.28-2.49, 1 Cr 2.54
Ni: 0.1626 0.6584 0.6584  8 Ni 2.28-2.49, 1 Cr 2.54
W: 0.7054 0.7054 0.7054  1 Cr 2.54, 12 Ni 2.74-2.78
W: 0.2946 0.2946 0.2946  1 Cr 2.54, 12 Ni 2.74-2.78

***

Material: Pr2ScTl
Method: DFT, PBE
State: relaxed

Results
E above lowest polymorph, meV per atom: 260
Total DFT energy (no corrections), eV/atom: -4.464
Volume, Å³ per atom: 32.7
E_form, eV/f.u.: 0.4

a = 3.5260 Å, b = 3.5260 Å, c = 12.3161 Å
α = 81.77°, β = 81.77°, γ = 60.00°
Last column: nearest neighbours and their distance in Å.
Atoms (fractional coordinates):
Pr: 0.0915 0.0915 0.7254  1 Tl 3.34, 3 Sc 3.41, 6 Pr 3.53
Pr: 0.9085 0.9085 0.2746  1 Tl 3.34, 3 Sc 3.41, 6 Pr 3.53
Sc: 0.5000 0.5000 0.5000  6 Pr 3.41, 6 Sc 3.53
Tl: 0.0000 0.0000 0.0000  2 Pr 3.34, 6 Tl 3.53

***

Number 1: size of the total moment 0.00 μB/cell. Number 2: size of the total moment 0.00 μB/cell. Number 3: size of the total moment 9.01 μB/cell. Number 4: size of the total moment 3.25 μB/cell. Number 5: size of the total moment 0.00 μB/cell. Number 6: size of the total moment 0.02 μB/cell. Number 7: size of the total moment 0.00 μB/cell. Number 8: size of the total moment 0.01 μB/cell. Number 9: size of the total moment 4.23 μB/cell. Number 10: size of the total moment 0.95 μB/cell. Number 11: size of the total moment 3.21 μB/cell. Number 12: size of the total moment 0.00 μB/cell.